Sc2BeB2: optimized geometry, PBE.

The space group is P4/mbm (No. 127) and the conventional cell measures 6.0747, 6.0747 and 3.4209 Å, with angles of 90.00, 90.00 and 90.00 degrees. The distinct sites, in fractional coordinates, are Sc at (0.1851, 0.3149, 0.0000), Be at (0.0000, 0.0000, 0.5000) and B at (0.0976, 0.5976, 0.5000).

The calculated volume is 63.1 Å³/f.u. As for the formation enthalpy at 0 K: -0.3341 eV/atom. For the density of states at the Fermi level, the calculation gives 0.50 states/eV/atom. For the total moment, the calculation gives 0.000 μB/atom.



ScBeB2: optimized geometry, PBE.

The space group is Amm2 (No. 38) and the conventional cell measures 3.4332, 4.7649 and 5.5383 Å, with angles of 90.00, 90.00 and 90.00 degrees. The distinct sites, in fractional coordinates, are Sc at (0.0000, 0.0000, 0.0000), Be at (0.5000, 0.0000, 0.3858) and B at (0.5000, 0.1648, 0.7107).

The calculated volume is 45.3 Å³/f.u. As for the formation enthalpy at 0 K: -0.2031 eV/atom. For the density of states at the Fermi level, the calculation gives 0.29 states/eV/atom. For the total moment, the calculation gives 0.000 μB/atom.



ScBe3B3: optimized geometry, PBE.

The space group is P6_3/m (No. 176) and the conventional cell measures 7.3337, 7.3337 and 3.0010 Å, with angles of 90.00, 90.00 and 120.00 degrees. The distinct sites, in fractional coordinates, are Sc at (0.3333, 0.6667, 0.2500), Be at (0.0990, 0.3447, 0.7500) and B at (0.0392, 0.5776, 0.7500).

The calculated volume is 69.9 Å³/f.u. As for the formation enthalpy at 0 K: -0.1392 eV/atom. For the density of states at the Fermi level, the calculation gives 0.21 states/eV/atom. For the total moment, the calculation gives 0.000 μB/atom.



Sc2BeB2: optimized geometry, PBE.

The space group is C2/m (No. 12) and the conventional cell measures 9.1753, 3.4998 and 8.7054 Å, with angles of 90.00, 117.22 and 90.00 degrees. The distinct sites, in fractional coordinates, are Sc at (0.1034, 0.0000, 0.4045), Sc at (0.2157, 0.5000, 0.1565), Be at (0.0611, 0.5000, 0.8196), B at (0.0336, 0.0000, 0.9215) and B at (0.0916, 0.5000, 0.6010).

The calculated volume is 62.1 Å³/f.u. As for the formation enthalpy at 0 K: -0.3852 eV/atom. For the density of states at the Fermi level, the calculation gives 0.67 states/eV/atom. For the total moment, the calculation gives 0.032 μB/atom.